Entry from the Alexandria database: a relaxed structure of SbPAuI2 (PBE).

Output
* relative energy among the computed polymorphs: 0.0000 eV per atom
* VASP energy: -12.51 eV/cell
* total moment: 0.000 μB per formula unit

Lattice parameters (Å, degrees): 5.3508 5.3508 5.4278 90.00 90.00 90.00
Closest atoms and distances in Å follow each position.
Positions (direct):
Sb 0.0000 0.0000 0.0000  2 P 2.71
P 0.0000 0.0000 0.5000  4 I 2.68, 2 Sb 2.71
Au 0.5000 0.5000 0.0000  4 Sb 3.78, 8 I 3.81
I 0.0000 0.5000 0.5000  2 P 2.68
I 0.5000 0.0000 0.5000  2 P 2.68